A plane-wave DFT calculation with meta-GGA SCAN was carried out for a PBEsol-optimized structure of La3Re.

The structure in extended XYZ format:
```
4
Lattice="1.749 1.010 10.415 -1.749 1.010 10.415 0.000 -2.020 10.415" Properties=species:S:1:pos:R:3 pbc="T T T"
La 0.000 0.000 0.000
La 0.000 0.000 7.322
La 0.000 0.000 23.924
Re 0.000 0.000 15.623
```

Values from the calculation:
As for the symmetry: No. 166. The value obtained for the energy is -49.65 eV/atom. The calculated volume comes out at 110.4 Å³ per cell.